Record 1
Entry from Alexandria: crystalline Ca2PuPaP4 at its relaxed geometry (GGA-PBE).

extended XYZ file:
```
8
Lattice="-0.210 0.336 -4.071 6.644 -2.321 -0.534 -4.442 -5.442 -0.221" Properties=species:S:1:pos:R:3 pbc="T T T"
Pa 0.000 0.000 0.000
P 1.540 -5.798 -2.613
P -1.754 -4.795 -0.306
P 3.955 -2.968 -0.449
P 0.452 -1.628 -2.212
Ca 1.101 -3.881 -0.378
Ca -2.326 -2.553 -2.146
Pu 3.217 -0.992 -2.303
```

## Properties
N(E_F): 13.09 states/eV per cell
formation energy from the elements: -1.2058 eV per atom
symmetry: P2/m (10)
E: -7.39 eV per atom

Record 2
Entry from Alexandria: crystalline NdEr2ScIn4 at its relaxed geometry (GGA-PBE).

extended XYZ file:
```
8
Lattice="5.266 0.000 0.000 2.633 4.561 0.000 2.633 1.520 8.664" Properties=species:S:1:pos:R:3 pbc="T T T"
Sc 5.266 3.040 4.332
Er 2.633 1.520 2.195
Er 7.899 4.561 6.469
In 2.633 1.520 5.338
In 7.899 4.561 3.325
In 5.266 3.040 7.489
In 5.266 3.040 1.175
Nd 0.000 0.000 0.000
```

## Properties
N(E_F): 4.54 states/eV per cell
formation energy from the elements: -0.4287 eV per atom
symmetry: R-3m (166)
E: -4.33 eV per atom

Record 3
Entry from Alexandria: crystalline YHoZnPb at its relaxed geometry (GGA-PBE).

extended XYZ file:
```
4
Lattice="-1.249 4.971 -1.061 -4.832 1.753 0.991 -0.805 3.388 3.908" Properties=species:S:1:pos:R:3 pbc="T T T"
Y -3.443 5.056 1.919
Ho 0.000 0.000 0.000
Zn -5.164 7.584 2.879
Pb -1.721 2.528 0.960
```

## Properties
N(E_F): 2.91 states/eV per cell
formation energy from the elements: -0.3734 eV per atom
symmetry: F-43m (216)
E: -4.38 eV per atom

Record 4
Entry from Alexandria: crystalline Nd3SmSc2Te6 at its relaxed geometry (GGA-PBE).

extended XYZ file:
```
12
Lattice="-4.335 0.189 0.220 0.000 -6.703 5.766 2.788 7.723 5.402" Properties=species:S:1:pos:R:3 pbc="T T T"
Te 0.012 -1.541 1.558
Te 0.410 -0.861 8.829
Te -1.957 2.070 2.558
Te 0.405 2.214 6.088
Te -1.559 2.750 9.829
Te -1.952 -1.006 5.299
Sc -1.752 0.836 7.663
Sc 0.205 0.372 3.724
Nd 0.197 -3.066 6.535
Nd -1.745 4.275 4.852
Nd -2.168 -3.257 2.993
Sm -2.167 0.094 0.110
```

## Properties
N(E_F): 7.19 states/eV per cell
ΔE_f (raw): -1299 meV per atom
symmetry: C2/m (12)
E: -5.51 eV per atom